Compound: YPuAg
Source: Alexandria
Functional: PBE
Structure: relaxed

a = 3.435 Å, b = 3.435 Å, c = 13.485 Å
α = 90.00°, β = 90.00°, γ = 90.00°
Space group I4mm (No. 107)
Asymmetric unit:
Y  0.000  0.000  0.000
Pu  0.000  0.000  0.697
Ag  0.000  0.000  0.355



Compound: Y2PuAg
Source: Alexandria
Functional: PBE
Structure: relaxed

a = 5.434 Å, b = 5.434 Å, c = 3.584 Å
α = 90.00°, β = 90.00°, γ = 90.00°
Space group P4/mmm (No. 123)
Asymmetric unit:
Y  0.000  0.500  0.000
Pu  0.000  0.000  0.500
Ag  0.500  0.500  0.500



Compound: YPuZnAg
Source: Alexandria
Functional: PBE
Structure: relaxed

a = 7.265 Å, b = 7.265 Å, c = 7.265 Å
α = 90.00°, β = 90.00°, γ = 90.00°
Space group F-43m (No. 216)
Asymmetric unit:
Y  0.000  0.000  0.000
Pu  0.000  0.000  0.500
Zn  0.250  0.250  0.750
Ag  0.250  0.250  0.250



Compound: PuZnAg
Source: Alexandria
Functional: PBE
Structure: relaxed

a = 2.970 Å, b = 3.817 Å, c = 10.965 Å
α = 90.00°, β = 90.00°, γ = 90.00°
Space group Imm2 (No. 44)
Asymmetric unit:
Pu  0.000  0.000  0.000
Zn  0.000  0.000  0.317
Ag  0.000  0.000  0.697



Compound: Pu3Zn8Ag
Source: Alexandria
Functional: PBE
Structure: relaxed

a = 5.3924 Å, b = 5.3924 Å, c = 26.4646 Å
α = 90.00°, β = 90.00°, γ = 120.00°
Space group R3m (No. 160, hexagonal axes)
Asymmetric unit:
Pu  0.0000  0.0000  0.0000
Pu  0.0000  0.0000  0.1244
Pu  0.0000  0.0000  0.6266
Zn  0.0000  0.0000  0.3119
Zn  0.0000  0.0000  0.8135
Zn  0.0034  0.5017  0.0635
Zn  0.1670  0.3340  0.8951
Ag  0.0000  0.0000  0.4990



Compound: PuZnAg
Source: Alexandria
Functional: PBE
Structure: relaxed

a = 2.934 Å, b = 15.553 Å, c = 5.330 Å
α = 90.00°, β = 90.00°, γ = 90.00°
Space group Amm2 (No. 38)
Asymmetric unit:
Pu  0.000  0.181  0.000
Zn  0.500  0.140  0.498
Ag  0.000  0.000  0.674
Ag  0.500  0.000  0.164



Number 1: formation enthalpy at 0 K 0.028 eV per atom. Number 2: formation enthalpy at 0 K 0.039 eV per atom. Number 3: formation enthalpy at 0 K -0.096 eV per atom. Number 4: formation enthalpy at 0 K -0.027 eV per atom. Number 5: formation enthalpy at 0 K -0.081 eV per atom. Number 6: formation enthalpy at 0 K -0.026 eV per atom.